Entry 1:
An optimized crystal structure of RbUSe2. Source: Alexandria, functional GGA-PBE.

Cell: 3.6383 3.6383 8.2176 Å, 90.00 90.00 90.00°
Last column: nearest neighbours and their distance in Å.
Space group P4/mmm (No. 123)
Symmetry-distinct sites (fractional):
Rb1 0.0000 0.0000 0.0000 (multiplicity 1)  8 Se 3.56, 4 Rb 3.64
U1 0.0000 0.0000 0.5000 (multiplicity 1)  8 Se 3.06
Se1 0.5000 0.5000 0.2988 (multiplicity 2)  4 U 3.06, 1 Se 3.31

The calculation puts the calculated volume at 109 Å³/cell. Its total magnetization is 2.89 μB per formula unit. As for the formation energy from raw total energies: -1103 meV/atom.

---

Entry 2:
An optimized crystal structure of GdTm5. Source: Alexandria, functional GGA-PBE.

Cell: 4.9501 14.8662 4.9546 Å, 90.00 90.00 90.00°
Last column: nearest neighbours and their distance in Å.
Space group Cmmm (No. 65)
Symmetry-distinct sites (fractional):
Gd1 0.0000 0.0000 0.0000 (multiplicity 2)  12 Tm 3.50-3.52
Tm1 0.0000 0.1671 0.5000 (multiplicity 4)  10 Tm 3.48-3.51, 2 Gd 3.51
Tm2 0.0000 0.3319 0.0000 (multiplicity 4)  10 Tm 3.47-3.52, 2 Gd 3.52
Tm3 0.0000 0.5000 0.5000 (multiplicity 2)  4 Gd 3.50, 8 Tm 3.51-3.52

The calculation puts the calculated volume at 365 Å³/cell. As for the calculated formation energy: 0.02 eV per atom. Its total magnetization is 7.18 μB per formula unit.

---

Entry 3:
An optimized crystal structure of Pm2DyHoTm5. Source: Alexandria, functional GGA-PBE.

Cell: 8.5621 8.5621 15.4429 Å, 90.00 90.00 90.00°
Last column: nearest neighbours and their distance in Å.
Space group I4/mcm (No. 140)
Symmetry-distinct sites (fractional):
Pm1 0.1170 0.3830 0.0000 (multiplicity 8)  1 Pm 2.83, 2 Tm 2.99
Dy1 0.0000 0.0000 0.2500 (multiplicity 4)  10 Tm 3.50-3.86
Ho1 0.0000 0.5000 0.2500 (multiplicity 4)  4 Tm 3.08
Tm1 0.0000 0.0000 0.0000 (multiplicity 4)  4 Pm 3.43, 8 Tm 3.74
Tm2 0.2120 0.2880 0.3604 (multiplicity 16)  1 Pm 2.99, 1 Ho 3.08

The calculation puts the calculated volume at 1132 Å³/cell. As for the calculated formation energy: 0.28 eV per atom. Its total magnetization is 0.00 μB per formula unit.

---

Entry 4:
An optimized crystal structure of TaZnCr2. Source: Alexandria, functional GGA-PBE.

Cell: 3.1737 4.1775 8.5091 Å, 90.00 90.00 90.00°
Last column: nearest neighbours and their distance in Å.
Space group Cmmm (No. 65)
Symmetry-distinct sites (fractional):
Ta1 0.0000 0.0000 0.0000 (multiplicity 2)  4 Ta 2.62, 4 Cr 2.71
Zn1 0.0000 0.0000 0.5000 (multiplicity 2)  4 Cr 2.60, 4 Zn 2.62
Cr1 0.0000 0.5000 0.2580 (multiplicity 4)  2 Zn 2.60, 4 Cr 2.62, 2 Ta 2.71

The calculation puts the calculated volume at 113 Å³/cell. As for the calculated formation energy: 0.25 eV per atom. Its total magnetization is 0.00 μB per formula unit.

---

Repeat the third record exactly.
An optimized crystal structure of Pm2DyHoTm5. Source: Alexandria, functional GGA-PBE.

Cell: 8.5621 8.5621 15.4429 Å, 90.00 90.00 90.00°
Last column: nearest neighbours and their distance in Å.
Space group I4/mcm (No. 140)
Symmetry-distinct sites (fractional):
Pm1 0.1170 0.3830 0.0000 (multiplicity 8)  1 Pm 2.83, 2 Tm 2.99
Dy1 0.0000 0.0000 0.2500 (multiplicity 4)  10 Tm 3.50-3.86
Ho1 0.0000 0.5000 0.2500 (multiplicity 4)  4 Tm 3.08
Tm1 0.0000 0.0000 0.0000 (multiplicity 4)  4 Pm 3.43, 8 Tm 3.74
Tm2 0.2120 0.2880 0.3604 (multiplicity 16)  1 Pm 2.99, 1 Ho 3.08

The calculation puts the calculated volume at 1132 Å³/cell. As for the calculated formation energy: 0.28 eV per atom. Its total magnetization is 0.00 μB per formula unit.